Record 1
Below is TmTlIn2 after structural relaxation, with properties calculated at the PBE level.

The structure belongs to space group R3m (No. 160, hexagonal axes); the cell edges are 4.8820, 4.8820 and 17.2571 Å and the angles 90.00°, 90.00° and 120.00°. Symmetry generates all atoms from Tm at (0.0000, 0.0000, 0.0000), Tl at (0.0000, 0.0000, 0.1855), In at (0.0000, 0.0000, 0.4184) and In at (0.0000, 0.0000, 0.6019).

The calculation puts the energy of formation at -5 meV per atom. The density of states at the Fermi level comes out at 0.466 states/eV/atom. For the total energy, the calculation gives -37.0 eV per cell.

***

Record 2
Below is Fe2CoPt after structural relaxation, with properties calculated at the PBE level.

The structure belongs to space group Pmma (No. 51); the cell edges are 8.500, 2.655 and 4.534 Å and the angles 90.00°, 90.00° and 90.00°. Symmetry generates all atoms from Fe at (0.250, 0.000, 0.148), Fe at (0.250, 0.500, 0.678), Co at (0.000, 0.500, 0.000) and Pt at (0.000, 0.000, 0.500).

The calculation puts the energy of formation at -43 meV per atom. The density of states at the Fermi level comes out at 1.060 states/eV/atom. For the total energy, the calculation gives -60.5 eV per cell.